(1)
Density functional theory data (PBE-GGA) for a geometry-optimized Tb2VAg structure.

Calculated formation energy (eV/atom): 0.03

Lattice parameters (Å, degrees): 3.630 3.630 7.191 90.00 90.00 90.00
Space group P4/mmm (No. 123)
Unique sites:
Tb  0.000  0.000  0.240
V  0.500  0.500  0.000
Ag  0.500  0.500  0.500

***

(2)
Density functional theory data (PBE-GGA) for a geometry-optimized Ti2TcGe structure.

Calculated formation energy (eV/atom): -0.53

Lattice parameters (Å, degrees): 3.286 3.286 5.671 90.00 90.00 90.00
Space group P4/mmm (No. 123)
Unique sites:
Ti  0.000  0.000  0.249
Tc  0.500  0.500  0.000
Ge  0.500  0.500  0.500

***

(3)
Density functional theory data (PBE-GGA) for a geometry-optimized HoTmIr4 structure.

Calculated formation energy (eV/atom): -0.83

Lattice parameters (Å, degrees): 7.551 7.551 7.551 90.00 90.00 90.00
Space group F-43m (No. 216)
Unique sites:
Ho  0.000  0.000  0.000
Tm  0.250  0.250  0.250
Ir  0.125  0.125  0.625

***

(4)
Density functional theory data (PBE-GGA) for a geometry-optimized IrOsO2 structure.

Formation energy (no corrections) (eV/atom): 0.62

Lattice parameters (Å, degrees): 4.803 4.803 9.172 90.00 90.00 90.00
Space group I-42d (No. 122)
Unique sites:
Ir  0.000  0.000  0.000
Os  0.000  0.000  0.500
O  0.231  0.250  0.625